# 1
A geometry-optimized Hf5CuSb3 structure. Source: Alexandria via LeMat-Bulk, functional PBEsol.

Structure (CIF):
```
data_Hf5CuSb3
_symmetry_space_group_name_H-M 'P 1'
_symmetry_Int_Tables_number 1
_cell_length_a 8.4596
_cell_length_b 8.4596
_cell_length_c 5.6827
_cell_angle_alpha 90.00
_cell_angle_beta 90.00
_cell_angle_gamma 120.00
loop_
_symmetry_equiv_pos_as_xyz
'x,y,z'
loop_
_atom_site_label
_atom_site_type_symbol
_atom_site_fract_x
_atom_site_fract_y
_atom_site_fract_z
Hf1 Hf 0.0000 0.2636 0.2500
Hf2 Hf 0.0000 0.7364 0.7500
Hf3 Hf 0.2636 0.0000 0.2500
Hf4 Hf 0.2636 0.2636 0.7500
Hf5 Hf 0.3333 0.6667 0.0000
Hf6 Hf 0.3333 0.6667 0.5000
Hf7 Hf 0.6667 0.3333 0.0000
Hf8 Hf 0.6667 0.3333 0.5000
Hf9 Hf 0.7364 0.0000 0.7500
Hf10 Hf 0.7364 0.7364 0.2500
Cu1 Cu 0.0000 0.0000 0.0000
Cu2 Cu 0.0000 0.0000 0.5000
Sb1 Sb 0.0000 0.3861 0.7500
Sb2 Sb 0.0000 0.6139 0.2500
Sb3 Sb 0.3861 0.0000 0.7500
Sb4 Sb 0.3861 0.3861 0.2500
Sb5 Sb 0.6139 0.0000 0.2500
Sb6 Sb 0.6139 0.6139 0.7500
```

Summary:
The formation energy without anion corrections comes out at -4.98 eV/f.u.

---

# 2
A geometry-optimized HfSc3Cu structure. Source: Alexandria via LeMat-Bulk, functional PBEsol.

Structure (CIF):
```
data_HfSc3Cu
_symmetry_space_group_name_H-M 'P 1'
_symmetry_Int_Tables_number 1
_cell_length_a 5.0618
_cell_length_b 5.0618
_cell_length_c 5.0618
_cell_angle_alpha 90.00
_cell_angle_beta 90.00
_cell_angle_gamma 90.00
loop_
_symmetry_equiv_pos_as_xyz
'x,y,z'
loop_
_atom_site_label
_atom_site_type_symbol
_atom_site_fract_x
_atom_site_fract_y
_atom_site_fract_z
Hf1 Hf 0.0000 0.0000 0.0000
Sc1 Sc 0.0000 0.0000 0.5000
Sc2 Sc 0.0000 0.5000 0.0000
Sc3 Sc 0.5000 0.0000 0.0000
Cu1 Cu 0.5000 0.5000 0.5000
```

Summary:
As for the formation energy: 1.06 eV/atom.

---

# 3
A geometry-optimized HfCu3Se structure. Source: Alexandria via LeMat-Bulk, functional PBEsol.

Structure (CIF):
```
data_HfCu3Se
_symmetry_space_group_name_H-M 'P 1'
_symmetry_Int_Tables_number 1
_cell_length_a 4.4339
_cell_length_b 4.4339
_cell_length_c 4.4339
_cell_angle_alpha 90.00
_cell_angle_beta 90.00
_cell_angle_gamma 90.00
loop_
_symmetry_equiv_pos_as_xyz
'x,y,z'
loop_
_atom_site_label
_atom_site_type_symbol
_atom_site_fract_x
_atom_site_fract_y
_atom_site_fract_z
Hf1 Hf 0.0000 0.0000 0.0000
Cu1 Cu 0.0000 0.5000 0.5000
Cu2 Cu 0.5000 0.0000 0.5000
Cu3 Cu 0.5000 0.5000 0.0000
Se1 Se 0.5000 0.5000 0.5000
```

Summary:
The formation energy without anion corrections comes out at 3.42 eV/f.u.

---

# 4
A geometry-optimized HfCuSe3 structure. Source: Alexandria via LeMat-Bulk, functional PBEsol.

Structure (CIF):
```
data_HfCuSe3
_symmetry_space_group_name_H-M 'P 1'
_symmetry_Int_Tables_number 1
_cell_length_a 4.6381
_cell_length_b 4.6381
_cell_length_c 4.6381
_cell_angle_alpha 90.00
_cell_angle_beta 90.00
_cell_angle_gamma 90.00
loop_
_symmetry_equiv_pos_as_xyz
'x,y,z'
loop_
_atom_site_label
_atom_site_type_symbol
_atom_site_fract_x
_atom_site_fract_y
_atom_site_fract_z
Hf1 Hf 0.0000 0.0000 0.0000
Cu1 Cu 0.5000 0.5000 0.5000
Se1 Se 0.0000 0.5000 0.5000
Se2 Se 0.5000 0.0000 0.5000
Se3 Se 0.5000 0.5000 0.0000
```

Summary:
The formation energy without anion corrections comes out at 0.73 eV/f.u.

---

# 5
A geometry-optimized Hf3Cu4Si2 structure. Source: Alexandria via LeMat-Bulk, functional PBEsol.

Structure (CIF):
```
data_Hf3Cu4Si2
_symmetry_space_group_name_H-M 'P 1'
_symmetry_Int_Tables_number 1
_cell_length_a 6.2188
_cell_length_b 6.2188
_cell_length_c 3.9431
_cell_angle_alpha 90.00
_cell_angle_beta 90.00
_cell_angle_gamma 120.00
loop_
_symmetry_equiv_pos_as_xyz
'x,y,z'
loop_
_atom_site_label
_atom_site_type_symbol
_atom_site_fract_x
_atom_site_fract_y
_atom_site_fract_z
Hf1 Hf 0.0000 0.5861 0.0000
Hf2 Hf 0.4139 0.4139 0.0000
Hf3 Hf 0.5861 0.0000 0.0000
Cu1 Cu 0.0000 0.0000 0.0000
Cu2 Cu 0.0000 0.2459 0.5000
Cu3 Cu 0.2459 0.0000 0.5000
Cu4 Cu 0.7541 0.7541 0.5000
Si1 Si 0.3333 0.6667 0.5000
Si2 Si 0.6667 0.3333 0.5000
```

Summary:
The formation energy without anion corrections comes out at -4.92 eV/f.u.

---

# 6
A geometry-optimized HfCuSi2 structure. Source: Alexandria via LeMat-Bulk, functional PBEsol.

Structure (CIF):
```
data_HfCuSi2
_symmetry_space_group_name_H-M 'P 1'
_symmetry_Int_Tables_number 1
_cell_length_a 3.9995
_cell_length_b 3.9995
_cell_length_c 16.6736
_cell_angle_alpha 90.00
_cell_angle_beta 90.00
_cell_angle_gamma 90.00
loop_
_symmetry_equiv_pos_as_xyz
'x,y,z'
loop_
_atom_site_label
_atom_site_type_symbol
_atom_site_fract_x
_atom_site_fract_y
_atom_site_fract_z
Hf1 Hf 0.0000 0.0000 0.0000
Hf2 Hf 0.0000 0.5000 0.2500
Hf3 Hf 0.5000 0.0000 0.7500
Hf4 Hf 0.5000 0.5000 0.5000
Cu1 Cu 0.0000 0.0000 0.5000
Cu2 Cu 0.0000 0.5000 0.7500
Cu3 Cu 0.5000 0.0000 0.2500
Cu4 Cu 0.5000 0.5000 0.0000
Si1 Si 0.1779 0.2500 0.6250
Si2 Si 0.2500 0.6779 0.8750
Si3 Si 0.2500 0.8221 0.3750
Si4 Si 0.3221 0.2500 0.1250
Si5 Si 0.6779 0.7500 0.1250
Si6 Si 0.7500 0.1779 0.3750
Si7 Si 0.7500 0.3221 0.8750
Si8 Si 0.8221 0.7500 0.6250
```

Summary:
The formation energy without anion corrections comes out at 0.05 eV/f.u.

---

# 7
A geometry-optimized HfCuSi structure. Source: Alexandria via LeMat-Bulk, functional PBEsol.

Structure (CIF):
```
data_HfCuSi
_symmetry_space_group_name_H-M 'P 1'
_symmetry_Int_Tables_number 1
_cell_length_a 6.3740
_cell_length_b 3.8627
_cell_length_c 7.1811
_cell_angle_alpha 90.00
_cell_angle_beta 90.00
_cell_angle_gamma 90.00
loop_
_symmetry_equiv_pos_as_xyz
'x,y,z'
loop_
_atom_site_label
_atom_site_type_symbol
_atom_site_fract_x
_atom_site_fract_y
_atom_site_fract_z
Hf1 Hf 0.0091 0.2500 0.1926
Hf2 Hf 0.4909 0.7500 0.6926
Hf3 Hf 0.5091 0.2500 0.3074
Hf4 Hf 0.9909 0.7500 0.8074
Cu1 Cu 0.1712 0.2500 0.5778
Cu2 Cu 0.3288 0.7500 0.0778
Cu3 Cu 0.6712 0.2500 0.9222
Cu4 Cu 0.8288 0.7500 0.4222
Si1 Si 0.2195 0.7500 0.3992
Si2 Si 0.2805 0.2500 0.8992
Si3 Si 0.7195 0.7500 0.1008
Si4 Si 0.7805 0.2500 0.6008
```

Summary:
The formation energy without anion corrections comes out at -2.02 eV/f.u.

---

# 8
A geometry-optimized HfCuSi2 structure. Source: Alexandria via LeMat-Bulk, functional PBEsol.

Structure (CIF):
```
data_HfCuSi2
_symmetry_space_group_name_H-M 'P 1'
_symmetry_Int_Tables_number 1
_cell_length_a 3.6535
_cell_length_b 3.6535
_cell_length_c 8.8610
_cell_angle_alpha 90.00
_cell_angle_beta 90.00
_cell_angle_gamma 90.00
loop_
_symmetry_equiv_pos_as_xyz
'x,y,z'
loop_
_atom_site_label
_atom_site_type_symbol
_atom_site_fract_x
_atom_site_fract_y
_atom_site_fract_z
Hf1 Hf 0.2500 0.2500 0.2349
Hf2 Hf 0.7500 0.7500 0.7651
Cu1 Cu 0.2500 0.7500 0.5000
Cu2 Cu 0.7500 0.2500 0.5000
Si1 Si 0.2500 0.2500 0.6737
Si2 Si 0.2500 0.7500 0.0000
Si3 Si 0.7500 0.2500 0.0000
Si4 Si 0.7500 0.7500 0.3263
```

Summary:
The formation energy without anion corrections comes out at -2.21 eV/f.u.